(1)
Below is an optimized crystal structure of Tb3Ho5Sb8, with properties calculated at the PBE-GGA level.

Lattice parameters (Å, degrees): 8.761 8.761 8.761 60.00 60.00 60.00
Sites, in units of the cell vectors:
Tb 0.000 0.500 0.500
Tb 0.500 0.000 0.500
Tb 0.500 0.500 0.000
Ho 0.000 0.000 0.000
Ho 0.000 0.000 0.500
Ho 0.000 0.500 0.000
Ho 0.500 0.000 0.000
Ho 0.500 0.500 0.500
Sb 0.248 0.750 0.750
Sb 0.249 0.249 0.249
Sb 0.250 0.250 0.752
Sb 0.250 0.752 0.250
Sb 0.750 0.248 0.750
Sb 0.750 0.750 0.248
Sb 0.751 0.751 0.751
Sb 0.752 0.250 0.250

Properties
- space group = R-3m, No. 166
- energy (eV for the cell shown) = -87.8

(2)
Below is an optimized crystal structure of TaTlAs2, with properties calculated at the PBE-GGA level.

Lattice parameters (Å, degrees): 3.445 4.621 5.025 90.00 90.00 90.00
Sites, in units of the cell vectors:
Ta 0.000 0.000 0.000
Tl 0.500 0.000 0.500
As 0.000 0.500 0.500
As 0.500 0.500 0.000

Properties
- energy above the lowest structure with this stoichiometry (meV per atom) = 698
- space group = Pmmm, No. 47
- DFT formation energy (eV/atom) = 0.557

Calculated volume in Å³/f.u., matching the order above: 475, 80